Entry from the Alexandria database: an optimized crystal structure of VCoO (GGA+U).

a b c (Å): 6.741 2.825 9.234
angles (deg): 90.00 122.17 90.00
Each line ends with the local moment (μB).
Fractional coordinates of all 12 atoms:
V: 0.069 0.000 0.036  1.78
O: 0.019 0.500 0.869  -0.04
V: 0.069 0.500 0.536  1.78
V: 0.723 0.500 0.637  -0.06
O: 0.903 0.500 0.090  0.00
Co: 0.363 0.500 0.950  1.85
Co: 0.479 0.500 0.272  2.04
O: 0.019 0.000 0.369  -0.04
Co: 0.363 0.000 0.450  1.85
V: 0.723 0.000 0.137  -0.06
O: 0.903 0.000 0.590  0.00
Co: 0.479 0.000 0.772  2.04

Summary:
The calculated density is 5.617 g cm⁻³. The crystal system is monoclinic. The calculation puts the relative energy among the computed polymorphs at 229 meV per atom. As for the space group: Cm, No. 8. The calculation puts the density of states at the Fermi level at 0.269 states/eV per atom. The value obtained for the magnetic moment is 2.8 μB per formula unit.